1.
Fe2Ni5Rh2 | PBE | relaxed

```
Fe2Ni5Rh2
1.0
-3.413 -0.262 -8.552
-2.222 -3.745 1.002
-1.416 4.944 5.375
Rh Fe Ni
4 4 10
direct
0.841 0.412 0.759
0.159 0.653 0.241
0.418 0.912 0.759
0.582 0.153 0.241
0.803 0.798 0.500
0.197 0.298 0.500
0.000 0.020 0.000
0.500 0.520 0.000
0.664 0.884 0.714
0.451 0.670 0.286
0.163 0.236 0.886
0.336 0.170 0.286
0.778 0.851 0.114
0.222 0.736 0.886
0.837 0.351 0.114
0.063 0.812 0.500
0.937 0.312 0.500
0.549 0.384 0.714
```

Results
D(E_F) = 1.137 states/eV per atom
Space group = Ima2, No. 46
Total DFT energy (no corrections) = -6.639 eV/atom

2.
Fe2NiRh9 | PBE | relaxed

```
Fe2NiRh9
1.0
-2.404 -2.947 -0.200
2.755 -2.330 1.219
-3.193 1.873 10.801
Rh Fe Ni
9 2 1
direct
0.500 0.500 0.000
0.500 0.000 0.165
0.500 0.000 0.835
0.000 0.500 0.835
0.500 0.000 0.500
0.000 0.500 0.165
0.500 0.500 0.667
0.000 0.500 0.500
0.500 0.500 0.333
0.000 0.000 0.667
0.000 0.000 0.333
0.000 0.000 0.000
```

Results
D(E_F) = 1.526 states/eV per atom
Space group = P4/mmm, No. 123
Total DFT energy (no corrections) = -7.417 eV/atom

3.
FeNiRh2 | PBE | relaxed

```
FeNiRh2
1.0
-2.094 -3.620 0.611
2.072 -3.448 1.296
-0.584 -1.468 3.918
Ni Rh Fe
1 2 1
direct
0.750 0.750 0.750
0.250 0.250 0.250
0.000 0.000 0.000
0.500 0.500 0.500
```

Results
D(E_F) = 2.117 states/eV per atom
Space group = F-43m, No. 216
Total DFT energy (no corrections) = -7.055 eV/atom

4.
FeNi2Rh2 | PBE | relaxed

```
FeNi2Rh2
1.0
6.131 0.000 0.000
0.000 6.131 0.000
0.000 0.000 3.530
Fe Ni Rh
2 4 4
direct
0.000 0.000 0.000
0.500 0.500 0.000
0.866 0.634 0.000
0.134 0.366 0.000
0.634 0.134 0.000
0.366 0.866 0.000
0.335 0.165 0.500
0.835 0.335 0.500
0.165 0.665 0.500
0.665 0.835 0.500
```

Results
D(E_F) = 1.079 states/eV per atom
Space group = P4/mbm, No. 127
Energy above the lowest structure with this stoichiometry = 0 meV/atom
Total DFT energy (no corrections) = -6.744 eV/atom

5.
FeNi6Rh | PBE | relaxed

```
FeNi6Rh
1.0
-1.306 2.086 2.581
-1.074 -4.123 2.789
4.615 0.245 2.137
Rh Ni Fe
1 6 1
direct
0.500 0.500 0.500
0.000 0.245 0.755
0.000 0.755 0.755
0.500 0.000 0.500
0.000 0.245 0.245
0.000 0.755 0.245
0.500 0.500 0.000
0.500 0.000 0.000
```

Results
D(E_F) = 1.275 states/eV per atom
Space group = P4/mmm, No. 123
Energy above the lowest structure with this stoichiometry = 9 meV/atom
Total DFT energy (no corrections) = -6.325 eV/atom

6.
Fe3Ni2Rh2 | PBE | relaxed

```
Fe3Ni2Rh2
1.0
-2.950 -1.730 -1.144
2.944 0.926 -3.309
2.988 -4.331 4.525
Ni Rh Fe
2 2 3
direct
0.284 0.140 0.428
0.716 0.860 0.572
0.859 0.435 0.283
0.141 0.565 0.717
0.559 0.270 0.847
0.441 0.730 0.153
0.000 0.000 0.000
```

Results
D(E_F) = 1.327 states/eV per atom
Space group = C2/m, No. 12
Total DFT energy (no corrections) = -7.381 eV/atom

7.
Fe2Ni4Rh | PBE | relaxed

```
Fe2Ni4Rh
1.0
-2.481 1.603 -1.187
0.157 -1.732 -2.666
-4.272 -5.774 5.401
Ni Rh Fe
4 1 2
direct
0.750 0.250 0.500
0.146 0.146 0.292
0.250 0.750 0.500
0.854 0.854 0.708
0.000 0.000 0.000
0.413 0.413 0.827
0.587 0.587 0.173
```

Results
D(E_F) = 1.000 states/eV per atom
Space group = I4/mmm, No. 139
Energy above the lowest structure with this stoichiometry = 32 meV/atom
Total DFT energy (no corrections) = -6.549 eV/atom

8.
Fe4Ni5Rh | PBE | relaxed

```
Fe4Ni5Rh
1.0
3.728 0.000 -0.903
-0.565 5.541 -2.330
-0.395 -0.698 6.516
Fe Ni Rh
4 5 1
direct
0.682 0.926 0.364
0.973 0.234 0.946
0.318 0.074 0.636
0.027 0.766 0.054
0.826 0.378 0.652
0.174 0.622 0.348
0.173 0.223 0.346
0.500 0.500 0.000
0.827 0.777 0.654
0.500 0.000 0.000
```

Results
D(E_F) = 0.902 states/eV per atom
Space group = C2/m, No. 12
Total DFT energy (no corrections) = -6.810 eV/atom

Please write out number 4 again, unchanged.
FeNi2Rh2 | PBE | relaxed

```
FeNi2Rh2
1.0
6.131 0.000 0.000
0.000 6.131 0.000
0.000 0.000 3.530
Fe Ni Rh
2 4 4
direct
0.000 0.000 0.000
0.500 0.500 0.000
0.866 0.634 0.000
0.134 0.366 0.000
0.634 0.134 0.000
0.366 0.866 0.000
0.335 0.165 0.500
0.835 0.335 0.500
0.165 0.665 0.500
0.665 0.835 0.500
```

Results
D(E_F) = 1.079 states/eV per atom
Space group = P4/mbm, No. 127
Energy above the lowest structure with this stoichiometry = 0 meV/atom
Total DFT energy (no corrections) = -6.744 eV/atom

> Which value of total DFT energy (no corrections) does entry 6 give?

-7.381 eV/atom